[1]
! NpPaGeSb (PBE, relaxed); values from VASP
&SYSTEM
  ibrav = 0, nat = 16, ntyp = 4
/
ATOMIC_SPECIES
Np 237.00 Np.upf
Pa 231.04 Pa.upf
Ge 72.64 Ge.upf
Sb 121.76 Sb.upf
CELL_PARAMETERS angstrom
7.292 0.000 0.000
0.000 7.292 0.000
0.000 0.000 7.292
ATOMIC_POSITIONS angstrom
Np 0.000 0.000 0.000
Np 0.000 3.646 3.646
Np 3.646 0.000 3.646
Np 3.646 3.646 0.000
Pa 0.000 0.000 3.646
Pa 0.000 3.646 0.000
Pa 3.646 0.000 0.000
Pa 3.646 3.646 3.646
Ge 1.823 1.823 1.823
Ge 1.823 5.469 5.469
Ge 5.469 1.823 5.469
Ge 5.469 5.469 1.823
Sb 1.823 1.823 5.469
Sb 1.823 5.469 1.823
Sb 5.469 1.823 1.823
Sb 5.469 5.469 5.469
! Formation energy (no corrections) (eV/atom): -0.16
! Space-group type: F-43m
! Magnetic moment (μB/cell): 20.1

=====

[2]
! SmY5Er (PBE, relaxed); values from VASP
&SYSTEM
  ibrav = 0, nat = 14, ntyp = 3
/
ATOMIC_SPECIES
Sm 150.36 Sm.upf
Y 88.91 Y.upf
Er 167.26 Er.upf
CELL_PARAMETERS angstrom
5.293 -3.292 0.000
5.293 3.292 0.000
-0.686 0.000 13.239
ATOMIC_POSITIONS angstrom
Sm 4.778 1.777 9.929
Sm 5.121 -1.777 3.310
Y 5.121 1.739 3.310
Y 2.282 0.028 8.731
Y 2.625 -0.028 2.112
Y 2.934 0.023 12.189
Y 3.277 -0.023 5.570
Y 6.623 0.023 7.669
Y 6.965 -0.023 1.050
Y 7.274 0.028 11.127
Y 7.617 -0.028 4.508
Y 4.778 -1.739 9.929
Er 0.000 0.000 0.000
Er -0.343 0.000 6.620
! Space-group type: C2/c
! Energy (eV/cell): -80.6
! Magnetic moment (μB/cell): 0.0

=====

[3]
! KBaSN2 (PBE, relaxed); values from VASP
&SYSTEM
  ibrav = 0, nat = 5, ntyp = 4
/
ATOMIC_SPECIES
K 39.10 K.upf
Ba 137.33 Ba.upf
S 32.06 S.upf
N 14.01 N.upf
CELL_PARAMETERS angstrom
4.919 0.000 0.000
0.000 4.919 0.000
0.000 0.000 5.863
ATOMIC_POSITIONS angstrom
K 0.000 0.000 0.000
Ba 2.460 2.460 2.931
S 0.000 0.000 2.931
N 0.000 2.460 0.000
N 2.460 0.000 0.000
! Formation energy (no corrections) (eV/atom): 0.97
! Space-group type: P4/mmm
! Energy above the most stable polymorph in this dataset (meV/atom): 134
! Magnetic moment (μB/cell): 5.0

=====

[4]
! HoCo3Si (PBE, relaxed); values from VASP
&SYSTEM
  ibrav = 0, nat = 10, ntyp = 3
/
ATOMIC_SPECIES
Ho 164.93 Ho.upf
Co 58.93 Co.upf
Si 28.09 Si.upf
CELL_PARAMETERS angstrom
2.257 -8.472 0.000
2.257 8.472 0.000
0.000 0.000 4.390
ATOMIC_POSITIONS angstrom
Ho 2.257 6.748 3.293
Ho 2.257 -6.748 1.098
Co 1.094 3.845 3.293
Co 1.094 -3.845 1.098
Co 2.257 0.000 0.000
Co 2.257 0.000 2.195
Co 3.421 3.845 3.293
Co 3.421 -3.845 1.098
Si 2.257 1.953 3.293
Si 2.257 -1.953 1.098
! Formation energy (no corrections) (eV/atom): -0.03
! Space-group type: Cmcm
! Magnetic moment (μB/cell): 7.1